Here is a crystal of Zn2Te2I relaxed with PBEsol from Alexandria via LeMat-Bulk. Energies are from meta-GGA SCAN.

Cell lengths 7.076, 7.076, 7.076 Å; angles 142.98, 142.98, 53.35 degrees
Positions (direct):
Zn1 0.096 0.096 0.000
Zn2 0.904 0.904 0.000
Te1 0.250 0.750 0.500
Te2 0.750 0.250 0.500
I1 0.500 0.500 0.000

Space group   No. 139
DOS(E_F)   0.5628 states/eV per atom
Uncorrected energy   -27.539 eV per atom
Total magnetization   0.0 Bohr magnetons per cell



Here is a crystal of ReSiSe relaxed with PBEsol from Alexandria via LeMat-Bulk. Energies are from meta-GGA SCAN.

Cell lengths 6.034, 6.034, 6.034 Å; angles 151.48, 151.48, 40.77 degrees
Positions (direct):
Re1 0.000 0.000 0.000
Si1 0.366 0.366 0.000
Se1 0.634 0.634 0.000

Space group   No. 107
Relative energy among the computed polymorphs   0 meV per atom
DOS(E_F)   0.6980 states/eV per atom
Uncorrected energy   -33.341 eV per atom
Total magnetization   0.0 Bohr magnetons per cell



Here is a crystal of Hf3HgB relaxed with PBEsol from Alexandria via LeMat-Bulk. Energies are from meta-GGA SCAN.

Cell lengths 4.529, 4.529, 4.529 Å; angles 90.00, 90.00, 90.00 degrees
Positions (direct):
Hf1 0.000 0.000 0.500
Hf2 0.000 0.500 0.000
Hf3 0.500 0.000 0.000
Hg1 0.500 0.500 0.500
B1 0.000 0.000 0.000

Space group   No. 221
DOS(E_F)   0.3494 states/eV per atom
Uncorrected energy   -53.114 eV per atom
Total magnetization   0.0 Bohr magnetons per cell



Here is a crystal of KLi2P relaxed with PBEsol from Alexandria via LeMat-Bulk. Energies are from meta-GGA SCAN.

Cell lengths 5.971, 5.971, 5.971 Å; angles 42.01, 42.01, 42.01 degrees
Positions (direct):
K1 0.000 0.000 0.000
Li1 0.188 0.188 0.188
Li2 0.812 0.812 0.812
P1 0.500 0.500 0.500

Space group   No. 166
Uncorrected energy   -6.534 eV per atom
Total magnetization   0.0 Bohr magnetons per cell



Here is a crystal of YRePt4 relaxed with PBEsol from Alexandria via LeMat-Bulk. Energies are from meta-GGA SCAN.

Cell lengths 5.232, 5.232, 5.232 Å; angles 60.00, 60.00, 60.00 degrees
Positions (direct):
Y1 0.000 0.000 0.000
Re1 0.750 0.750 0.750
Pt1 0.376 0.376 0.376
Pt2 0.376 0.376 0.872
Pt3 0.376 0.872 0.376
Pt4 0.872 0.376 0.376

Space group   No. 216
DOS(E_F)   0.3896 states/eV per atom
Uncorrected energy   -63.590 eV per atom
Total magnetization   2.0 Bohr magnetons per cell



Here is a crystal of CaTiS2Cl relaxed with PBEsol from Alexandria via LeMat-Bulk. Energies are from meta-GGA SCAN.

Cell lengths 5.102, 5.102, 4.900 Å; angles 90.00, 90.00, 90.00 degrees
Positions (direct):
Ca1 0.000 0.000 0.000
Ti1 0.500 0.500 0.500
S1 0.000 0.500 0.000
S2 0.500 0.000 0.000
Cl1 0.000 0.000 0.500

Space group   No. 123
DOS(E_F)   0.6134 states/eV per atom
Uncorrected energy   -11.134 eV per atom
Total magnetization   1.1 Bohr magnetons per cell



Here is a crystal of Be2NiSb relaxed with PBEsol from Alexandria via LeMat-Bulk. Energies are from meta-GGA SCAN.

Cell lengths 3.715, 3.715, 3.611 Å; angles 90.00, 90.00, 90.00 degrees
Positions (direct):
Be1 0.000 0.500 0.000
Be2 0.500 0.000 0.000
Ni1 0.000 0.000 0.500
Sb1 0.500 0.500 0.500

Space group   No. 123
DOS(E_F)   0.3503 states/eV per atom
Uncorrected energy   -15.331 eV per atom
Total magnetization   0.0 Bohr magnetons per cell



Here is a crystal of Co2CuNi relaxed with PBEsol from Alexandria via LeMat-Bulk. Energies are from meta-GGA SCAN.

Cell lengths 8.198, 8.198, 8.198 Å; angles 17.25, 17.25, 17.25 degrees
Positions (direct):
Co1 0.000 0.000 0.000
Co2 0.254 0.254 0.254
Cu1 0.501 0.501 0.501
Ni1 0.749 0.749 0.749

Space group   No. 160
Relative energy among the computed polymorphs   7 meV per atom
DOS(E_F)   0.7514 states/eV per atom
Uncorrected energy   -16.434 eV per atom
Total magnetization   4.2 Bohr magnetons per cell